--- A ---
A plane-wave DFT calculation with GGA-PBE was carried out for a geometry-optimized Ti2BeAg structure.

## Properties
Spin magnetization = 0.000 μB/f.u.

a b c (Å): 2.746 2.746 9.963
angles (deg): 82.08 82.08 60.00
Atoms (fractional coordinates):
1 Ti 0.095 0.095 0.715
2 Ti 0.905 0.905 0.285
3 Be 0.500 0.500 0.500
4 Ag 0.000 0.000 0.000

--- B ---
A plane-wave DFT calculation with GGA-PBE was carried out for a geometry-optimized Ti2BeAg structure.

## Properties
Spin magnetization = 0.339 μB/f.u.

a b c (Å): 2.833 2.833 7.452
angles (deg): 90.00 90.00 90.00
Atoms (fractional coordinates):
1 Ti 0.000 0.000 0.789
2 Ti 0.000 0.000 0.211
3 Ag 0.500 0.500 0.500
4 Be 0.500 0.500 0.000

Computed energies relative to the best structure, in meV per atom: A 362; B 0

--- A ---
A plane-wave DFT calculation with GGA-PBE was carried out for a geometry-optimized TiBe2Ag structure.

## Properties
Spin magnetization = 0.000 μB/f.u.

a b c (Å): 4.144 4.144 4.144
angles (deg): 60.00 60.00 60.00
Atoms (fractional coordinates):
1 Ti 0.000 0.000 0.000
2 Ag 0.500 0.500 0.500
3 Be 0.750 0.750 0.750
4 Be 0.250 0.250 0.250

--- B ---
A plane-wave DFT calculation with GGA-PBE was carried out for a geometry-optimized TiBe2Ag structure.

## Properties
Spin magnetization = 0.000 μB/f.u.

a b c (Å): 2.877 2.877 6.183
angles (deg): 90.00 90.00 90.00
Atoms (fractional coordinates):
1 Be 0.000 0.000 0.759
2 Be 0.000 0.000 0.241
3 Ti 0.500 0.500 0.500
4 Ag 0.500 0.500 0.000

Computed energies relative to the best structure, in meV per atom: A 7; B 0

--- A ---
A plane-wave DFT calculation with GGA-PBE was carried out for a geometry-optimized TiBeAg2 structure.

## Properties
Spin magnetization = 0.403 μB/f.u.

a b c (Å): 3.812 3.812 9.601
angles (deg): 78.55 78.55 90.00
Atoms (fractional coordinates):
1 Ti 0.750 0.250 0.500
2 Ti 0.000 0.000 0.000
3 Be 0.250 0.750 0.500
4 Be 0.500 0.500 0.000
5 Ag 0.375 0.388 0.750
6 Ag 0.875 0.862 0.750
7 Ag 0.138 0.625 0.250
8 Ag 0.612 0.125 0.250

--- B ---
A plane-wave DFT calculation with GGA-PBE was carried out for a geometry-optimized TiBeAg2 structure.

## Properties
Spin magnetization = 0.000 μB/f.u.

a b c (Å): 4.426 4.426 4.426
angles (deg): 60.00 60.00 60.00
Atoms (fractional coordinates):
1 Be 0.000 0.000 0.000
2 Ag 0.250 0.250 0.250
3 Ag 0.750 0.750 0.750
4 Ti 0.500 0.500 0.500

Computed energies relative to the best structure, in meV per atom: A 324; B 0

--- A ---
A plane-wave DFT calculation with GGA-PBE was carried out for a geometry-optimized BeTlAg2 structure.

## Properties
Spin magnetization = 0.000 μB/f.u.

a b c (Å): 3.045 3.592 7.009
angles (deg): 75.79 90.00 90.00
Atoms (fractional coordinates):
1 Ag 0.500 0.289 0.307
2 Ag 0.000 0.917 0.043
3 Be 0.000 0.740 0.409
4 Tl 0.500 0.554 0.742

--- B ---
A plane-wave DFT calculation with GGA-PBE was carried out for a geometry-optimized BeTlAg2 structure.

## Properties
Spin magnetization = 0.000 μB/f.u.

a b c (Å): 5.027 5.027 3.112
angles (deg): 90.00 90.00 110.90
Atoms (fractional coordinates):
1 Tl 0.000 0.500 0.500
2 Be 0.500 0.000 0.500
3 Ag 0.500 0.500 0.000
4 Ag 0.000 0.000 0.000

--- C ---
A plane-wave DFT calculation with GGA-PBE was carried out for a geometry-optimized BeTlAg2 structure.

## Properties
Spin magnetization = 0.000 μB/f.u.

a b c (Å): 2.983 2.983 8.341
angles (deg): 90.00 90.00 90.02
Atoms (fractional coordinates):
1 Tl 0.500 0.500 0.750
2 Be 0.500 0.500 0.250
3 Ag 0.000 0.000 0.425
4 Ag 0.000 0.000 0.075

--- D ---
A plane-wave DFT calculation with GGA-PBE was carried out for a geometry-optimized BeTlAg2 structure.

## Properties
Spin magnetization = 0.000 μB/f.u.

a b c (Å): 4.677 4.677 4.677
angles (deg): 60.00 60.00 60.00
Atoms (fractional coordinates):
1 Ag 0.250 0.250 0.250
2 Ag 0.750 0.750 0.750
3 Be 0.000 0.000 0.000
4 Tl 0.500 0.500 0.500

Computed energies relative to the best structure, in meV per atom: A 35; B 226; C 0; D 215

--- A ---
A plane-wave DFT calculation with GGA-PBE was carried out for a geometry-optimized Be2TlAg2 structure.

## Properties
Spin magnetization = 0.000 μB/f.u.

a b c (Å): 7.526 7.526 2.884
angles (deg): 90.00 90.00 90.00
Atoms (fractional coordinates):
1 Ag 0.636 0.136 0.000
2 Ag 0.364 0.864 0.000
3 Ag 0.864 0.636 0.000
4 Ag 0.136 0.364 0.000
5 Tl 0.000 0.000 0.000
6 Tl 0.500 0.500 0.000
7 Be 0.845 0.345 0.500
8 Be 0.155 0.655 0.500
9 Be 0.655 0.845 0.500
10 Be 0.345 0.155 0.500

--- B ---
A plane-wave DFT calculation with GGA-PBE was carried out for a geometry-optimized Be2TlAg2 structure.

## Properties
Spin magnetization = 0.000 μB/f.u.

a b c (Å): 3.157 3.157 8.622
angles (deg): 79.45 79.45 90.00
Atoms (fractional coordinates):
1 Be 0.250 0.750 0.500
2 Be 0.750 0.250 0.500
3 Tl 0.000 0.000 0.000
4 Ag 0.363 0.363 0.274
5 Ag 0.637 0.637 0.726

Computed energies relative to the best structure, in meV per atom: A 143; B 0

--- A ---
A plane-wave DFT calculation with GGA-PBE was carried out for a geometry-optimized BeVAg3 structure.

## Properties
Spin magnetization = 3.278 μB/f.u.

a b c (Å): 4.418 4.418 4.418
angles (deg): 90.00 90.00 90.00
Atoms (fractional coordinates):
1 Ag 0.000 0.000 0.500
2 Ag 0.500 0.000 0.000
3 Ag 0.000 0.500 0.000
4 V 0.500 0.500 0.500
5 Be 0.000 0.000 0.000

--- B ---
A plane-wave DFT calculation with GGA-PBE was carried out for a geometry-optimized BeVAg3 structure.

## Properties
Spin magnetization = 3.287 μB/f.u.

a b c (Å): 4.959 4.959 4.959
angles (deg): 90.00 90.00 90.00
Atoms (fractional coordinates):
1 Ag 0.000 0.000 0.500
2 Ag 0.500 0.000 0.000
3 Ag 0.000 0.500 0.000
4 V 0.000 0.000 0.000
5 Be 0.500 0.500 0.500

Computed energies relative to the best structure, in meV per atom: A 0; B 1019